No. 1
Computed, not measured: an optimized crystal structure of CrIr2Cl at the GGA-PBE level of DFT.

Properties
Size of the total moment, μB per formula unit: 3.0
Excess energy over the best structure of this formula in the dataset, kJ per mole of atoms: 6.09
Density, g/cm³: 9.71
Uncorrected formation energy, meV per atom: 269.7
Energy, eV per atom: -7.028

Cell: 8.8345 2.8344 6.4989 Å, 90.00 97.39 90.00°
With the nearest neighbours (Å) after each atom.
Space group Cm (No. 8)
Symmetry-distinct sites (fractional):
Cr  0.0000  0.0000  0.0000 x2  2 Cl 2.33, 2 Ir 2.54
Ir  0.0349  0.5000  0.6849 x2  3 Ir 2.48-2.58, 2 Cr 2.54, 1 Cl 2.66
Ir  0.2757  0.0000  0.7933 x2  3 Ir 2.48-2.58, 2 Cr 2.66
Cl  0.0666  0.5000  0.2826 x2  2 Cr 2.33

No. 2
Computed, not measured: an optimized crystal structure of CrIr2Cl at the GGA-PBE level of DFT.

Properties
Size of the total moment, μB per formula unit: 0.0
Excess energy over the best structure of this formula in the dataset, kJ per mole of atoms: 8.13
Density, g/cm³: 12.95
Uncorrected formation energy, meV per atom: 290.8
Energy, eV per atom: -7.007

Cell: 2.7486 2.7486 27.7433 Å, 90.00 90.00 120.00°
With the nearest neighbours (Å) after each atom.
Space group R-3m (No. 166, hexagonal axes)
Symmetry-distinct sites (fractional):
Cr  0.0000  0.0000  0.0000 x3  6 Ir 2.54, 6 Cr 2.75
Ir  0.0000  0.0000  0.2617 x6  3 Cr 2.54, 6 Ir 2.75
Cl  0.0000  0.0000  0.5000 x3  6 Cl 2.75, 6 Ir 3.08

No. 3
Computed, not measured: an optimized crystal structure of CrIr2Cl at the GGA-PBE level of DFT.

Properties
Size of the total moment, μB per formula unit: 2.1
Excess energy over the best structure of this formula in the dataset, kJ per mole of atoms: 26.14
Density, g/cm³: 12.65
Uncorrected formation energy, meV per atom: 477.5
Energy, eV per atom: -6.820

Cell: 2.7857 4.8243 9.2161 Å, 90.00 90.00 90.00°
With the nearest neighbours (Å) after each atom.
Space group Cmmm (No. 65)
Symmetry-distinct sites (fractional):
Cr  0.0000  0.0000  0.0000 x2  4 Ir 2.48
Ir  0.0000  0.5000  0.2221 x4  2 Cr 2.48
Cl  0.0000  0.0000  0.5000 x2  6 Cl 2.79, 4 Ir 2.92